Material: CuSi3P
Method: DFT, PBE
State: relaxed

Values from the calculation:
- formation energy (no corrections) (eV per formula unit) = 4.82
- spin magnetization (μB/cell) = 0.00
- volume (Å³ per cell) = 89
- offset from the most stable computed form (meV/atom) = 114
- N(E_F) (states/eV per atom) = 0.418

Cell lengths 4.471, 4.471, 4.471 Å; angles 90.00, 90.00, 90.00 degrees
Sites, in units of the cell vectors:
Cu 0.000 0.000 0.000
Si 0.000 0.500 0.500
Si 0.500 0.000 0.500
Si 0.500 0.500 0.000
P 0.500 0.500 0.500